# 1
Material: La3Pm3Y4
Method: DFT, PBE-GGA
State: relaxed

Properties
**ΔE_f**: 0.094 eV per atom
**SG**: Amm2 (38)
**V**: 35.4 Å³ per atom

Unit cell a=3.6764 b=9.8074 c=9.8074 alpha=90.01 beta=90.00 gamma=90.00
Atoms (fractional coordinates):
Y 0.0000 0.8752 0.8801
Pm 0.5000 0.6751 0.6739
Y 0.0000 0.6223 0.3777
La 0.5000 0.1753 0.8247
La 0.0000 0.9992 0.4975
Y 0.0000 0.3797 0.6203
Y 0.0000 0.1199 0.1248
Pm 0.5000 0.3261 0.3249
La 0.0000 0.5025 0.0008
Pm 0.5000 0.8247 0.1753

# 2
Material: Nd2ErMg2
Method: DFT, PBE-GGA
State: relaxed

Properties
**Energy above the lowest structure with this stoichiometry**: 0.100 eV per atom
**ΔE_f**: 0.038 eV per atom
**SG**: Immm (71)
**V**: 30.5 Å³ per atom

Unit cell a=5.2415 b=6.0304 c=6.0304 alpha=71.34 beta=64.24 gamma=64.24
Atoms (fractional coordinates):
Nd 0.8053 0.6947 0.6947
Er 0.0000 0.0000 0.0000
Nd 0.1947 0.3053 0.3053
Mg 0.5000 0.7098 0.2902
Mg 0.5000 0.2902 0.7098

# 3
Material: Tb8Pm2Tm3
Method: DFT, PBE-GGA
State: relaxed

Properties
**Energy above the lowest structure with this stoichiometry**: 0.079 eV per atom
**ΔE_f**: 0.229 eV per atom
**SG**: Cmmm (65)
**V**: 33.4 Å³ per atom

Unit cell a=5.5502 b=7.6061 c=10.9757 alpha=110.29 beta=90.00 gamma=90.00
Atoms (fractional coordinates):
Tb 0.0000 0.1289 0.2579
Tb 0.4999 0.6056 0.7892
Tm 0.0000 0.7147 0.9999
Tb 0.4999 0.1834 0.7891
Tb 0.5001 0.8166 0.2109
Tb 0.9998 0.3368 0.6738
Pm 0.5002 0.7594 0.5188
Pm 0.4998 0.2406 0.4812
Tb 0.0001 0.6632 0.3262
Tm 0.0000 0.2853 0.0001
Tb 0.5001 0.3944 0.2108
Tb 0.0000 0.8711 0.7421
Tm 0.5000 0.0000 0.0000

# 4
Material: LiErBiAu
Method: DFT, PBE-GGA
State: relaxed

Properties
**ΔE_f**: -0.639 eV per atom
**SG**: F-43m (216)
**V**: 23.3 Å³ per atom

Unit cell a=5.0871 b=5.0871 c=5.0871 alpha=60.00 beta=60.00 gamma=60.00
Atoms (fractional coordinates):
Bi 0.5000 0.5000 0.5000
Li 0.2500 0.2500 0.2500
Er 0.7500 0.7500 0.7500
Au 0.0000 0.0000 0.0000

# 5
Material: CsVCd2Cl8
Method: DFT, PBE-GGA
State: relaxed

Properties
**Uncorrected formation energy**: -1258 meV/atom
**SG**: C2/m (12)
**V**: 31.6 Å³ per atom

Unit cell a=6.4364 b=6.4364 c=9.9859 alpha=85.09 beta=85.09 gamma=66.96
Atoms (fractional coordinates):
Cd 0.6355 0.6355 0.1867
Cl 0.3191 0.3191 0.5821
Cl 0.2654 0.7954 0.8283
Cl 0.7809 0.7810 0.9742
Cs 0.0000 0.0000 0.5000
Cl 0.6809 0.6809 0.4179
V 0.0000 0.0000 0.0000
Cl 0.7954 0.2654 0.8283
Cd 0.3645 0.3645 0.8133
Cl 0.2046 0.7346 0.1717
Cl 0.2191 0.2190 0.0258
Cl 0.7346 0.2046 0.1717

# 6
Material: Ti4HgPb
Method: DFT, PBE-GGA
State: relaxed

Properties
**ΔE_f**: -0.054 eV per atom
**SG**: Cmmm (65)
**V**: 18.7 Å³ per atom

Unit cell a=4.7997 b=4.8021 c=5.4341 alpha=90.00 beta=116.21 gamma=90.00
Atoms (fractional coordinates):
Pb 0.0000 0.0000 0.0000
Ti 0.6742 0.0000 0.3484
Ti 0.1752 0.5000 0.3505
Ti 0.3258 0.0000 0.6516
Hg 0.5000 0.5000 0.0000
Ti 0.8248 0.5000 0.6495

# 7
Material: SrTcOs
Method: DFT, PBE-GGA
State: relaxed

Properties
**Energy above the lowest structure with this stoichiometry**: 0.160 eV per atom
**ΔE_f**: 0.410 eV per atom
**SG**: Cm (8)
**V**: 21.2 Å³ per atom

Unit cell a=5.3708 b=5.8746 c=9.6712 alpha=90.00 beta=123.65 gamma=90.00
Atoms (fractional coordinates):
Sr 0.7151 0.0000 0.5820
Sr 0.4614 0.0000 0.8268
Tc 0.1443 0.5000 0.6669
Os 0.0783 0.2485 0.4488
Tc 0.1443 0.0000 0.1669
Sr 0.7151 0.5000 0.0820
Tc 0.6894 0.5000 0.7409
Sr 0.4614 0.5000 0.3268
Os 0.0783 0.2515 0.9488
Os 0.0783 0.7515 0.4488
Tc 0.6894 0.0000 0.2409
Os 0.0783 0.7485 0.9488

# 8
Material: IrRu3W
Method: DFT, PBE-GGA
State: relaxed

Properties
**Energy above the lowest structure with this stoichiometry**: 0.000 eV per atom
**ΔE_f**: 1.457 eV per atom
**SG**: R-3m (166)
**V**: 19.7 Å³ per atom

Unit cell a=5.2430 b=5.2430 c=5.1305 alpha=59.27 beta=59.27 gamma=60.00
Atoms (fractional coordinates):
W 0.4750 0.4750 0.5750
Ru 0.9750 0.4750 0.5750
Ru 0.9750 0.9750 0.5750
Ru 0.4750 0.9750 0.5750
Ir 0.9750 0.9750 0.0750

# 9
Material: Na3Li4Tl2
Method: DFT, PBE-GGA
State: relaxed

Properties
**ΔE_f**: -0.106 eV per atom
**SG**: C2/m (12)
**V**: 23.2 Å³ per atom

Unit cell a=5.0175 b=5.0178 c=9.5857 alpha=90.02 beta=90.01 gamma=59.99
Atoms (fractional coordinates):
Na 0.6666 0.6668 0.5729
Li 0.0007 0.9986 0.3063
Tl 0.3330 0.3340 0.7869
Na 0.3334 0.3332 0.4271
Li 0.3335 0.3329 0.1083
Na 0.0000 0.0000 0.0000
Tl 0.6670 0.6660 0.2132
Li 0.9993 0.0014 0.6937
Li 0.6665 0.6671 0.8917

# 10
Material: Dy4Ho3Sc2
Method: DFT, PBE-GGA
State: relaxed

Properties
**Energy above the lowest structure with this stoichiometry**: 0.000 eV per atom
**ΔE_f**: 0.096 eV per atom
**SG**: C2/c (15)
**V**: 30.2 Å³ per atom

Unit cell a=6.6532 b=11.4862 c=11.4862 alpha=50.39 beta=57.34 gamma=57.34
Atoms (fractional coordinates):
Sc 0.9388 0.5481 0.1207
Ho 0.5657 0.8019 0.8916
Sc 0.4388 0.1207 0.5481
Dy 0.0191 0.8019 0.1645
Dy 0.0340 0.8107 0.5650
Ho 0.7500 0.4923 0.5077
Dy 0.4660 0.4350 0.1893
Ho 0.0657 0.8916 0.8019
Dy 0.5340 0.5650 0.8107
Dy 0.9660 0.1893 0.4350
Sc 0.5612 0.8793 0.4519
Sc 0.0612 0.4519 0.8793
Dy 0.9809 0.1981 0.8355
Dy 0.4809 0.8355 0.1981
Ho 0.9343 0.1084 0.1981
Ho 0.2500 0.5077 0.4923
Dy 0.5191 0.1645 0.8019
Ho 0.4343 0.1981 0.1084

# 11
Material: ErSbPt
Method: DFT, PBE-GGA
State: relaxed

Properties
**Uncorrected formation energy**: -1229 meV/atom
**SG**: F-43m (216)
**V**: 23.7 Å³ per atom

Unit cell a=4.6510 b=4.6510 c=4.6510 alpha=60.00 beta=60.00 gamma=60.00
Atoms (fractional coordinates):
Er 0.5000 0.5000 0.5000
Pt 0.2500 0.2500 0.2500
Sb 0.0000 0.0000 0.0000

# 12
Material: NiAgAu2
Method: DFT, PBE-GGA
State: relaxed

Properties
**Energy above the lowest structure with this stoichiometry**: 0.086 eV per atom
**ΔE_f**: 0.113 eV per atom
**SG**: Fm-3m (225)
**V**: 16.4 Å³ per atom

Unit cell a=4.5225 b=4.5225 c=4.5225 alpha=60.00 beta=60.00 gamma=60.00
Atoms (fractional coordinates):
Au 0.7500 0.7500 0.7500
Au 0.2500 0.2500 0.2500
Ag 0.5000 0.5000 0.5000
Ni 0.0000 0.0000 0.0000